Entry 1:
This record from Alexandria describes crystalline Sr2AgTeC at its relaxed geometry. The functional is GGA-PBE.

Properties
ΔE_f (raw), eV/f.u.: 4.5
Theoretical density, g/cm³: 3.68
N(E_F), states/eV per cell: 2.67
Space-group type: P4/mmm (123)

The structure in CIF format:
```
data_Sr2AgTeC
_space_group_name_H-M_alt 'P 1'
_space_group_IT_number 1
_cell_length_a 6.056
_cell_length_b 5.205
_cell_length_c 6.056
_cell_angle_alpha 90.00
_cell_angle_beta 90.00
_cell_angle_gamma 90.00
loop_
_space_group_symop_operation_xyz
'x,y,z'
loop_
_atom_site_label
_atom_site_type_symbol
_atom_site_fract_x
_atom_site_fract_y
_atom_site_fract_z
_atom_site_occupancy
Sr1 Sr 0.000 0.000 0.500 1
Sr2 Sr 0.500 0.000 0.000 1
C1 C 0.500 0.500 0.500 1
Te1 Te 0.000 0.500 0.000 1
Ag1 Ag 0.000 0.000 0.000 1
```

---

Entry 2:
This record from Alexandria describes crystalline SrZnAg2C at its relaxed geometry. The functional is GGA-PBE.

Properties
Theoretical density, g/cm³: 3.95
N(E_F), states/eV per cell: 4.61
Space-group type: P4/mmm (123)

The structure in CIF format:
```
data_SrZnAg2C
_space_group_name_H-M_alt 'P 1'
_space_group_IT_number 1
_cell_length_a 5.936
_cell_length_b 4.542
_cell_length_c 5.936
_cell_angle_alpha 90.00
_cell_angle_beta 90.00
_cell_angle_gamma 90.00
loop_
_space_group_symop_operation_xyz
'x,y,z'
loop_
_atom_site_label
_atom_site_type_symbol
_atom_site_fract_x
_atom_site_fract_y
_atom_site_fract_z
_atom_site_occupancy
Sr1 Sr 0.000 0.000 0.000 1
Zn1 Zn 0.500 0.500 0.500 1
C1 C 0.000 0.500 0.000 1
Ag1 Ag 0.000 0.000 0.500 1
Ag2 Ag 0.500 0.000 0.000 1
```

---

Entry 3:
This record from Alexandria describes crystalline Sr2ZnAgC at its relaxed geometry. The functional is GGA-PBE.

Properties
Theoretical density, g/cm³: 4.72
N(E_F), states/eV per cell: 4.98
Space-group type: P4/mmm (123)

The structure in CIF format:
```
data_Sr2ZnAgC
_space_group_name_H-M_alt 'P 1'
_space_group_IT_number 1
_cell_length_a 5.519
_cell_length_b 4.164
_cell_length_c 5.519
_cell_angle_alpha 90.00
_cell_angle_beta 90.00
_cell_angle_gamma 90.00
loop_
_space_group_symop_operation_xyz
'x,y,z'
loop_
_atom_site_label
_atom_site_type_symbol
_atom_site_fract_x
_atom_site_fract_y
_atom_site_fract_z
_atom_site_occupancy
Sr1 Sr 0.000 0.000 0.500 1
Sr2 Sr 0.500 0.000 0.000 1
Zn1 Zn 0.500 0.500 0.500 1
C1 C 0.000 0.000 0.000 1
Ag1 Ag 0.000 0.500 0.000 1
```

---

Entry 4:
This record from Alexandria describes crystalline TaAg2C at its relaxed geometry. The functional is GGA-PBE.

Properties
Theoretical density, g/cm³: 10.45
N(E_F), states/eV per cell: 5.92
Space-group type: I-42d (122)

The structure in CIF format:
```
data_TaAg2C
_space_group_name_H-M_alt 'P 1'
_space_group_IT_number 1
_cell_length_a 7.695
_cell_length_b 7.695
_cell_length_c 5.867
_cell_angle_alpha 49.02
_cell_angle_beta 49.02
_cell_angle_gamma 90.00
loop_
_space_group_symop_operation_xyz
'x,y,z'
loop_
_atom_site_label
_atom_site_type_symbol
_atom_site_fract_x
_atom_site_fract_y
_atom_site_fract_z
_atom_site_occupancy
C1 C 0.500 0.500 0.000 1
C2 C 0.250 0.750 0.500 1
Ag1 Ag 0.527 0.125 0.250 1
Ag2 Ag 0.223 0.625 0.250 1
Ag3 Ag 0.375 0.473 0.750 1
Ag4 Ag 0.875 0.777 0.750 1
Ta1 Ta 0.000 0.000 0.000 1
Ta2 Ta 0.750 0.250 0.500 1
```

---

Entry 5:
This record from Alexandria describes crystalline TaAg3C at its relaxed geometry. The functional is GGA-PBE.

Properties
Theoretical density, g/cm³: 6.06
Relative energy among the computed polymorphs, kJ/mol of formula units: 723
N(E_F), states/eV per cell: 7.16
Space-group type: Pm-3m (221)

The structure in CIF format:
```
data_TaAg3C
_space_group_name_H-M_alt 'P 1'
_space_group_IT_number 1
_cell_length_a 5.210
_cell_length_b 5.210
_cell_length_c 5.210
_cell_angle_alpha 90.00
_cell_angle_beta 90.00
_cell_angle_gamma 90.00
loop_
_space_group_symop_operation_xyz
'x,y,z'
loop_
_atom_site_label
_atom_site_type_symbol
_atom_site_fract_x
_atom_site_fract_y
_atom_site_fract_z
_atom_site_occupancy
C1 C 0.500 0.500 0.500 1
Ag1 Ag 0.000 0.500 0.000 1
Ag2 Ag 0.000 0.000 0.500 1
Ag3 Ag 0.500 0.000 0.000 1
Ta1 Ta 0.000 0.000 0.000 1
```

---

Entry 6:
This record from Alexandria describes crystalline Ta2AgC at its relaxed geometry. The functional is GGA-PBE.

Properties
Theoretical density, g/cm³: 12.61
N(E_F), states/eV per cell: 5.31
Space-group type: I-42d (122)

The structure in CIF format:
```
data_Ta2AgC
_space_group_name_H-M_alt 'P 1'
_space_group_IT_number 1
_cell_length_a 6.646
_cell_length_b 6.646
_cell_length_c 5.508
_cell_angle_alpha 52.89
_cell_angle_beta 52.89
_cell_angle_gamma 90.00
loop_
_space_group_symop_operation_xyz
'x,y,z'
loop_
_atom_site_label
_atom_site_type_symbol
_atom_site_fract_x
_atom_site_fract_y
_atom_site_fract_z
_atom_site_occupancy
C1 C 0.500 0.500 0.000 1
C2 C 0.250 0.750 0.500 1
Ag1 Ag 0.000 0.000 0.000 1
Ag2 Ag 0.750 0.250 0.500 1
Ta1 Ta 0.539 0.125 0.250 1
Ta2 Ta 0.211 0.625 0.250 1
Ta3 Ta 0.375 0.461 0.750 1
Ta4 Ta 0.875 0.789 0.750 1
```

---

Entry 7:
This record from Alexandria describes crystalline TaAg3C at its relaxed geometry. The functional is GGA-PBE.

Properties
Theoretical density, g/cm³: 10.64
Relative energy among the computed polymorphs, kJ/mol of formula units: 0
N(E_F), states/eV per cell: 4.19
Space-group type: Pm-3m (221)

The structure in CIF format:
```
data_TaAg3C
_space_group_name_H-M_alt 'P 1'
_space_group_IT_number 1
_cell_length_a 4.319
_cell_length_b 4.319
_cell_length_c 4.319
_cell_angle_alpha 90.00
_cell_angle_beta 90.00
_cell_angle_gamma 90.00
loop_
_space_group_symop_operation_xyz
'x,y,z'
loop_
_atom_site_label
_atom_site_type_symbol
_atom_site_fract_x
_atom_site_fract_y
_atom_site_fract_z
_atom_site_occupancy
C1 C 0.000 0.000 0.000 1
Ag1 Ag 0.000 0.500 0.000 1
Ag2 Ag 0.000 0.000 0.500 1
Ag3 Ag 0.500 0.000 0.000 1
Ta1 Ta 0.500 0.500 0.500 1
```

---

Entry 8:
This record from Alexandria describes crystalline TaAgC2 at its relaxed geometry. The functional is GGA-PBE.

Properties
Theoretical density, g/cm³: 11.48
Relative energy among the computed polymorphs, kJ/mol of formula units: 189
N(E_F), states/eV per cell: 1.63
Space-group type: Fm-3m (225)

The structure in CIF format:
```
data_TaAgC2
_space_group_name_H-M_alt 'P 1'
_space_group_IT_number 1
_cell_length_a 4.000
_cell_length_b 4.000
_cell_length_c 4.000
_cell_angle_alpha 60.00
_cell_angle_beta 60.00
_cell_angle_gamma 60.00
loop_
_space_group_symop_operation_xyz
'x,y,z'
loop_
_atom_site_label
_atom_site_type_symbol
_atom_site_fract_x
_atom_site_fract_y
_atom_site_fract_z
_atom_site_occupancy
C1 C 0.250 0.250 0.250 1
C2 C 0.750 0.750 0.750 1
Ag1 Ag 0.000 0.000 0.000 1
Ta1 Ta 0.500 0.500 0.500 1
```

---

Entry 9:
This record from Alexandria describes crystalline TaAgC2 at its relaxed geometry. The functional is GGA-PBE.

Properties
Theoretical density, g/cm³: 8.68
Relative energy among the computed polymorphs, kJ/mol of formula units: 0
N(E_F), states/eV per cell: 3.74
Space-group type: I-42d (122)

The structure in CIF format:
```
data_TaAgC2
_space_group_name_H-M_alt 'P 1'
_space_group_IT_number 1
_cell_length_a 4.966
_cell_length_b 4.966
_cell_length_c 5.991
_cell_angle_alpha 65.51
_cell_angle_beta 65.51
_cell_angle_gamma 90.00
loop_
_space_group_symop_operation_xyz
'x,y,z'
loop_
_atom_site_label
_atom_site_type_symbol
_atom_site_fract_x
_atom_site_fract_y
_atom_site_fract_z
_atom_site_occupancy
C1 C 0.656 0.125 0.250 1
C2 C 0.094 0.625 0.250 1
C3 C 0.375 0.344 0.750 1
C4 C 0.875 0.906 0.750 1
Ag1 Ag 0.500 0.500 0.000 1
Ag2 Ag 0.250 0.750 0.500 1
Ta1 Ta 0.000 0.000 0.000 1
Ta2 Ta 0.750 0.250 0.500 1
```

---

Entry 10:
This record from Alexandria describes crystalline ZrTaAg2C at its relaxed geometry. The functional is GGA-PBE.

Properties
Theoretical density, g/cm³: 6.17
N(E_F), states/eV per cell: 5.65
Space-group type: P4/mmm (123)

The structure in CIF format:
```
data_ZrTaAg2C
_space_group_name_H-M_alt 'P 1'
_space_group_IT_number 1
_cell_length_a 5.200
_cell_length_b 4.975
_cell_length_c 5.200
_cell_angle_alpha 90.00
_cell_angle_beta 90.00
_cell_angle_gamma 90.00
loop_
_space_group_symop_operation_xyz
'x,y,z'
loop_
_atom_site_label
_atom_site_type_symbol
_atom_site_fract_x
_atom_site_fract_y
_atom_site_fract_z
_atom_site_occupancy
C1 C 0.500 0.500 0.500 1
Zr1 Zr 0.000 0.000 0.000 1
Ag1 Ag 0.000 0.000 0.500 1
Ag2 Ag 0.500 0.000 0.000 1
Ta1 Ta 0.000 0.500 0.000 1
```

---

Entry 11:
This record from Alexandria describes crystalline Tb2AgC at its relaxed geometry. The functional is GGA-PBE.

Properties
Theoretical density, g/cm³: 8.50
Relative energy among the computed polymorphs, kJ/mol of formula units: 0
N(E_F), states/eV per cell: 2.81
Space-group type: R3m (160)

The structure in CIF format:
```
data_Tb2AgC
_space_group_name_H-M_alt 'P 1'
_space_group_IT_number 1
_cell_length_a 3.662
_cell_length_b 3.662
_cell_length_c 7.656
_cell_angle_alpha 76.18
_cell_angle_beta 76.18
_cell_angle_gamma 60.02
loop_
_space_group_symop_operation_xyz
'x,y,z'
loop_
_atom_site_label
_atom_site_type_symbol
_atom_site_fract_x
_atom_site_fract_y
_atom_site_fract_z
_atom_site_occupancy
Tb1 Tb 0.061 0.061 0.815 1
Tb2 Tb 0.273 0.273 0.182 1
Ag1 Ag 0.500 0.500 0.500 1
C1 C 0.666 0.666 0.003 1
```

---

Entry 12:
This record from Alexandria describes crystalline Tb4AgC at its relaxed geometry. The functional is GGA-PBE.

Properties
Theoretical density, g/cm³: 8.10
N(E_F), states/eV per cell: 13.78
Space-group type: C2/c (15)

The structure in CIF format:
```
data_Tb4AgC
_space_group_name_H-M_alt 'P 1'
_space_group_IT_number 1
_cell_length_a 6.276
_cell_length_b 7.395
_cell_length_c 8.085
_cell_angle_alpha 110.52
_cell_angle_beta 105.20
_cell_angle_gamma 105.98
loop_
_space_group_symop_operation_xyz
'x,y,z'
loop_
_atom_site_label
_atom_site_type_symbol
_atom_site_fract_x
_atom_site_fract_y
_atom_site_fract_z
_atom_site_occupancy
Tb1 Tb 0.292 0.936 0.599 1
Tb2 Tb 0.018 0.825 0.096 1
Tb3 Tb 0.193 0.338 0.401 1
Tb4 Tb 0.422 0.729 0.904 1
Tb5 Tb 0.708 0.064 0.401 1
Tb6 Tb 0.807 0.662 0.599 1
Tb7 Tb 0.982 0.175 0.904 1
Tb8 Tb 0.578 0.271 0.096 1
Ag1 Ag 0.370 0.620 0.239 1
Ag2 Ag 0.630 0.380 0.761 1
C1 C 0.817 0.067 0.134 1
C2 C 0.183 0.933 0.866 1
```

---

Entry 13:
This record from Alexandria describes crystalline Tb3Ag2C at its relaxed geometry. The functional is GGA-PBE.

Properties
Theoretical density, g/cm³: 8.83
N(E_F), states/eV per cell: 7.22
Space-group type: Cmmm (65)

The structure in CIF format:
```
data_Tb3Ag2C
_space_group_name_H-M_alt 'P 1'
_space_group_IT_number 1
_cell_length_a 5.047
_cell_length_b 7.220
_cell_length_c 7.697
_cell_angle_alpha 90.00
_cell_angle_beta 70.86
_cell_angle_gamma 90.00
loop_
_space_group_symop_operation_xyz
'x,y,z'
loop_
_atom_site_label
_atom_site_type_symbol
_atom_site_fract_x
_atom_site_fract_y
_atom_site_fract_z
_atom_site_occupancy
Tb1 Tb 0.500 0.250 0.000 1
Tb2 Tb 0.500 0.750 0.000 1
Tb3 Tb 0.120 0.000 0.760 1
Tb4 Tb 0.880 0.500 0.240 1
Tb5 Tb 0.120 0.500 0.760 1
Tb6 Tb 0.880 0.000 0.240 1
Ag1 Ag 0.704 0.750 0.592 1
Ag2 Ag 0.704 0.250 0.592 1
Ag3 Ag 0.296 0.750 0.408 1
Ag4 Ag 0.296 0.250 0.408 1
C1 C 0.000 0.750 0.000 1
C2 C 0.000 0.250 0.000 1
```

---

In the order shown, the computed raw total energy values come out to -2.81, -1.80, -3.08, -5.69, -3.09, -8.52, -4.59, -6.82, -7.31, -4.21, -5.58, -5.21, -5.08 eV per atom.